VASP calculation (PBE+U) on crystalline MnAg2GeO4 at its relaxed geometry.

```
8
Lattice="-2.3316 2.3316 5.4657 2.3316 -2.3316 5.4657 2.3316 2.3316 -5.4657" Properties=species:S:1:pos:R:3 pbc="T T T"
Mn 0.0000 0.0000 0.0000
Ag 2.3316 0.0000 2.7328
Ag 0.0000 2.3316 2.7328
Ge 0.0000 0.0000 5.4657
O 1.0420 -1.0420 4.4542
O 1.2896 1.2896 1.0115
O -1.0420 1.0420 4.4542
O 1.0420 1.0420 6.4772
```

total DFT energy (no corrections)	-5.75	eV per atom
spin magnetization	4.99	μB per cell